No. 1
A crystal of Ag2HgHPt relaxed with PBEsol. Source: Alexandria, functional SCAN.

Cell lengths 3.225, 5.149, 5.149 Å; angles 90.00, 90.00, 90.00 degrees
Fractional positions:
Ag1 0.000 0.000 0.500
Ag2 0.000 0.500 0.000
Hg1 0.000 0.000 0.000
Pt1 0.500 0.500 0.500
H1 0.500 0.000 0.000

* total energy: -2.95498 Ry per atom
* crystal system: tetragonal

---

No. 2
A crystal of TlFeHg relaxed with PBEsol. Source: Alexandria, functional SCAN.

Cell lengths 3.311, 4.557, 4.557 Å; angles 120.00, 90.00, 90.00 degrees
Each line ends with the local moment (μB).
Fractional positions:
Fe1 0.950 0.000 0.000  3.05
Hg1 0.741 0.333 0.667  -0.02
Tl1 0.309 0.667 0.333  -0.02

* energy of formation from the pure elements: 1.528 eV/f.u.
* crystal system: trigonal

---

No. 3
A crystal of MnAsRh relaxed with PBEsol. Source: Alexandria, functional SCAN.

Cell lengths 3.576, 6.400, 6.400 Å; angles 120.00, 90.00, 90.00 degrees
Each line ends with the local moment (μB).
Fractional positions:
As1 0.500 0.000 0.000  -0.08
As2 0.000 0.333 0.667  -0.14
As3 0.000 0.667 0.333  -0.14
Mn1 0.500 0.000 0.402  3.71
Mn2 0.500 0.402 0.000  3.71
Mn3 0.500 0.598 0.598  3.71
Rh1 0.000 0.000 0.737  -0.16
Rh2 0.000 0.737 0.000  -0.16
Rh3 0.000 0.263 0.263  -0.16

* energy of formation from the pure elements: -1.882 eV/f.u.
* crystal system: hexagonal

---

No. 4
A crystal of Mn2Al2H relaxed with PBEsol. Source: Alexandria, functional SCAN.

Cell lengths 4.093, 5.208, 5.208 Å; angles 90.00, 90.00, 90.00 degrees
Each line ends with the local moment (μB).
Fractional positions:
H1 0.000 0.000 0.000  -0.05
H2 0.000 0.500 0.500  -0.05
Mn1 0.000 0.342 0.842  3.05
Mn2 0.000 0.842 0.658  3.05
Mn3 0.000 0.658 0.158  3.05
Mn4 0.000 0.158 0.342  3.05
Al1 0.500 0.166 0.666  -0.07
Al2 0.500 0.666 0.834  -0.07
Al3 0.500 0.834 0.334  -0.07
Al4 0.500 0.334 0.166  -0.07

* total energy: -0.81830 Ry per atom
* crystal system: tetragonal

---

What are the DOS at the Fermi energy values for these records? In order: 1.206, 1.765, 1.664, 1.776 states/eV/f.u..
What are the mass density values for these records? In order: 11.892, 12.850, 9.141, 4.932 g/cm³.